<P>
The following is a DFT calculation (GGA-PBE) of a geometry-optimized BBrCl structure.

abc: 3.731 7.222 12.851
angles: 90.00 90.00 90.00
Atoms (fractional coordinates):
B: 0.000 0.098 0.000
B: 0.000 0.902 0.500
B: 0.500 0.402 0.500
B: 0.500 0.598 0.000
Br: 0.000 0.337 0.068
Br: 0.000 0.663 0.568
Br: 0.500 0.163 0.568
Br: 0.500 0.837 0.068
Cl: 0.000 0.068 0.866
Cl: 0.000 0.932 0.366
Cl: 0.500 0.432 0.366
Cl: 0.500 0.568 0.866

- DOS at the Fermi energy: 0.51 states/eV/atom
- V: 346.3 Å³/cell
- Space-group type: Cmc2_1, No. 36

<Q>
The following is a DFT calculation (GGA-PBE) of a geometry-optimized BBrCl structure.

abc: 4.679 6.231 7.980
angles: 86.16 73.68 80.42
Atoms (fractional coordinates):
B: 0.000 0.000 0.000
B: 0.048 0.954 0.205
Br: 0.205 0.799 0.817
Br: 0.845 0.156 0.387
Cl: 0.281 0.723 0.254
Cl: 0.765 0.230 0.951

- DOS at the Fermi energy: 0.00 states/eV/atom
- V: 220.1 Å³/cell
- Space-group type: P1, No. 1

Most stable = <Q>

<P>
The following is a DFT calculation (GGA-PBE) of a geometry-optimized BSe2BrCl structure.

abc: 4.779 4.779 7.299
angles: 90.00 90.00 90.00
Atoms (fractional coordinates):
B: 0.000 0.000 0.000
Se: 0.000 0.500 0.500
Se: 0.500 0.000 0.500
Br: 0.500 0.500 0.000
Cl: 0.500 0.500 0.500

- DOS at the Fermi energy: 0.68 states/eV/atom
- V: 166.7 Å³/cell
- Space-group type: P4/mmm, No. 123

<Q>
The following is a DFT calculation (GGA-PBE) of a geometry-optimized BSe2BrCl structure.

abc: 4.582 4.582 4.635
angles: 90.00 90.00 90.00
Atoms (fractional coordinates):
B: 0.000 0.000 0.000
Se: 0.000 0.500 0.000
Se: 0.500 0.000 0.000
Br: 0.000 0.000 0.500
Cl: 0.500 0.500 0.500

- DOS at the Fermi energy: 0.74 states/eV/atom
- V: 97.3 Å³/cell
- Space-group type: P4/mmm, No. 123

Most stable = <Q>

<P>
The following is a DFT calculation (GGA-PBE) of a geometry-optimized CoB3Br structure.

abc: 3.967 3.967 3.967
angles: 90.00 90.00 90.00
Atoms (fractional coordinates):
Co: 0.000 0.000 0.000
B: 0.000 0.000 0.500
B: 0.000 0.500 0.000
B: 0.500 0.000 0.000
Br: 0.500 0.500 0.500

- DOS at the Fermi energy: 0.88 states/eV/atom
- V: 62.4 Å³/cell
- Space-group type: Pm-3m, No. 221

<Q>
The following is a DFT calculation (GGA-PBE) of a geometry-optimized CoB3Br structure.

abc: 4.067 4.067 4.067
angles: 90.00 90.00 90.00
Atoms (fractional coordinates):
Co: 0.000 0.000 0.000
B: 0.000 0.500 0.500
B: 0.500 0.000 0.500
B: 0.500 0.500 0.000
Br: 0.500 0.500 0.500

- DOS at the Fermi energy: 1.29 states/eV/atom
- V: 67.3 Å³/cell
- Space-group type: Pm-3m, No. 221

Most stable = <P>

<P>
The following is a DFT calculation (GGA-PBE) of a geometry-optimized Co2B2Br structure.

abc: 3.726 3.726 7.689
angles: 90.00 90.00 90.00
Atoms (fractional coordinates):
Co: 0.000 0.500 0.250
Co: 0.000 0.500 0.750
Co: 0.500 0.000 0.250
Co: 0.500 0.000 0.750
B: 0.000 0.000 0.115
B: 0.000 0.000 0.885
B: 0.500 0.500 0.385
B: 0.500 0.500 0.615
Br: 0.000 0.000 0.500
Br: 0.500 0.500 0.000

- DOS at the Fermi energy: 0.62 states/eV/atom
- V: 106.8 Å³/cell
- Space-group type: I4/mmm, No. 139

<Q>
The following is a DFT calculation (GGA-PBE) of a geometry-optimized Co2B2Br structure.

abc: 6.254 6.254 2.891
angles: 90.00 90.00 90.00
Atoms (fractional coordinates):
Co: 0.138 0.362 0.000
Co: 0.362 0.862 0.000
Co: 0.638 0.138 0.000
Co: 0.862 0.638 0.000
B: 0.097 0.597 0.500
B: 0.403 0.097 0.500
B: 0.597 0.903 0.500
B: 0.903 0.403 0.500
Br: 0.000 0.000 0.500
Br: 0.500 0.500 0.500

- DOS at the Fermi energy: 0.90 states/eV/atom
- V: 113.1 Å³/cell
- Space-group type: P4/mbm, No. 127

Most stable = <P>

<P>
The following is a DFT calculation (GGA-PBE) of a geometry-optimized CoB2Br2 structure.

abc: 7.125 7.125 3.151
angles: 90.00 90.00 90.00
Atoms (fractional coordinates):
Co: 0.000 0.000 0.000
Co: 0.500 0.500 0.000
B: 0.203 0.297 0.500
B: 0.297 0.797 0.500
B: 0.703 0.203 0.500
B: 0.797 0.703 0.500
Br: 0.158 0.658 0.000
Br: 0.342 0.158 0.000
Br: 0.658 0.842 0.000
Br: 0.842 0.342 0.000

- DOS at the Fermi energy: 0.54 states/eV/atom
- V: 160.0 Å³/cell
- Space-group type: P4/mbm, No. 127

<Q>
The following is a DFT calculation (GGA-PBE) of a geometry-optimized CoB2Br2 structure.

abc: 2.884 2.884 22.038
angles: 90.00 90.00 90.00
Atoms (fractional coordinates):
Co: 0.000 0.000 0.000
Co: 0.500 0.500 0.500
B: 0.000 0.500 0.250
B: 0.000 0.500 0.750
B: 0.500 0.000 0.250
B: 0.500 0.000 0.750
Br: 0.000 0.000 0.426
Br: 0.000 0.000 0.574
Br: 0.500 0.500 0.074
Br: 0.500 0.500 0.926

- DOS at the Fermi energy: 1.20 states/eV/atom
- V: 183.3 Å³/cell
- Space-group type: I4/mmm, No. 139

Most stable = <Q>

<P>
The following is a DFT calculation (GGA-PBE) of a geometry-optimized Cr3BBr structure.

abc: 4.023 4.023 4.023
angles: 90.00 90.00 90.00
Atoms (fractional coordinates):
Cr: 0.000 0.000 0.500
Cr: 0.000 0.500 0.000
Cr: 0.500 0.000 0.000
B: 0.000 0.000 0.000
Br: 0.500 0.500 0.500

- DOS at the Fermi energy: 1.81 states/eV/atom
- V: 65.1 Å³/cell
- Space-group type: Pm-3m, No. 221

<Q>
The following is a DFT calculation (GGA-PBE) of a geometry-optimized Cr3BBr structure.

abc: 4.285 4.285 4.285
angles: 90.00 90.00 90.00
Atoms (fractional coordinates):
Cr: 0.000 0.000 0.500
Cr: 0.000 0.500 0.000
Cr: 0.500 0.000 0.000
B: 0.500 0.500 0.500
Br: 0.000 0.000 0.000

- DOS at the Fermi energy: 1.72 states/eV/atom
- V: 78.7 Å³/cell
- Space-group type: Pm-3m, No. 221

Most stable = <P>